First-principles (PBE) data for SrMg2AlNi after structural relaxation, as listed in the Alexandria database.

Volume, Å³/atom: 23.06
Uncorrected energy, eV per atom: -3.047
Formation energy from the elements, eV per atom: -0.17
M_tot, μB/cell: 0.04

abc: 4.9515 4.9515 4.7021
angles: 90.00 90.00 90.00
Closest atoms and distances in Å follow each position.
Space group P4/mmm (No. 123)
One atom of each set of equivalent atoms:
Sr1 0.0000 0.0000 0.0000 x1  8 Mg 3.41, 4 Al 3.50
Mg1 0.0000 0.5000 0.5000 x2  2 Ni 2.48
Al1 0.5000 0.5000 0.0000 x1  2 Ni 2.35
Ni1 0.5000 0.5000 0.5000 x1  2 Al 2.35, 4 Mg 2.48